BaScAg3, relaxed, DFT PBE; ΔE_f = 0.141 eV/atom; symmetry = Pm-3m (221); energy above the most stable polymorph in this dataset = 0 meV/atom
1.0
-1.4376 -2.0858 -4.7161
3.1251 -4.2468 0.9256
-4.1019 -2.5045 2.3581
Ag Ba Sc
3 1 1
Direct
0.0000 0.0000 0.5000 Ag
0.5000 0.0000 0.0000 Ag
0.0000 0.5000 0.0000 Ag
0.5000 0.5000 0.5000 Ba
0.0000 0.0000 0.0000 Sc

Tl4VSe5, relaxed, DFT PBE; symmetry = I4 (79); E_form (uncorrected) = -419.6 meV per atom
1.0
-3.8331 -1.5384 -4.8110
3.0867 -4.2834 -5.2681
-3.8885 -6.2958 0.9328
Se Tl V
5 4 1
Direct
0.9145 0.3260 0.8520 Se
0.4476 0.0000 0.0000 Se
0.7666 0.1480 0.3260 Se
0.0926 0.6740 0.1480 Se
0.2406 0.8520 0.6740 Se
0.3928 0.4072 0.7894 Tl
0.5894 0.5928 0.2106 Tl
0.1821 0.2106 0.4072 Tl
0.8000 0.7894 0.5928 Tl
0.0841 0.0000 0.0000 V

Ge2As3Pd8, relaxed, DFT PBE; ΔE_f = -0.234 eV/atom; symmetry = C2/m (12)
1.0
5.5017 0.0000 0.8441
0.0000 7.2307 0.0000
-1.5672 -3.6154 5.3419
Pd Ge As
8 2 3
Direct
0.8552 0.1760 0.3520 Pd
0.6000 0.5755 0.7471 Pd
0.4000 0.4245 0.2529 Pd
0.1448 0.8240 0.6480 Pd
0.8274 0.5771 0.1542 Pd
0.4000 0.8284 0.2529 Pd
0.1726 0.4229 0.8458 Pd
0.6000 0.1716 0.7471 Pd
0.3160 0.2273 0.4546 Ge
0.6840 0.7727 0.5454 Ge
0.0000 0.7953 0.0000 As
0.0000 0.2047 0.0000 As
0.5000 0.0000 0.0000 As

Tb6PrTh4, relaxed, DFT PBE; ΔE_f = 0.176 eV/atom; symmetry = Immm (71)
1.0
-1.7986 -0.7073 2.8582
-1.1910 -5.4017 -2.0862
16.3316 -3.2227 7.3969
Th Tb Pr
4 6 1
Direct
0.1827 0.1827 0.3655 Th
0.4555 0.4555 0.9110 Th
0.5445 0.5445 0.0890 Th
0.8173 0.8173 0.6345 Th
0.5970 0.0970 0.1939 Tb
0.7674 0.2674 0.5348 Tb
0.4030 0.9030 0.8061 Tb
0.1317 0.6317 0.2635 Tb
0.8683 0.3683 0.7365 Tb
0.2326 0.7326 0.4652 Tb
0.0000 0.0000 0.0000 Pr

ZnH4I2, relaxed, DFT PBE; symmetry = I4/mmm (139); E = -2.235 eV per atom
1.0
-3.0887 -1.4436 1.6957
-0.9551 -1.7605 -3.2385
2.9155 -9.0930 1.8446
H Zn I
4 1 2
Direct
0.2608 0.2608 0.4785 H
0.0000 0.5000 0.0000 H
0.5000 0.0000 0.0000 H
0.7392 0.7392 0.5215 H
0.0000 0.0000 0.0000 Zn
0.6517 0.6517 0.6966 I
0.3483 0.3483 0.3034 I

Tl2TcAu, relaxed, DFT PBE; ΔE_f = 0.596 eV/atom; symmetry = C2/m (12); energy above the most stable polymorph in this dataset = 125 meV/atom
1.0
-3.5689 -3.9787 -1.9139
1.5342 -0.0919 5.4638
-2.4745 1.2122 1.5215
Tl Au Tc
2 1 1
Direct
0.0000 0.0000 0.0000 Tl
0.5000 0.0000 0.5000 Tl
0.0000 0.5000 0.5000 Au
0.5000 0.5000 0.0000 Tc

AcDyTlIn, relaxed, DFT PBE; ΔE_f = -0.362 eV/atom; symmetry = F-43m (216)
1.0
5.6035 0.0000 0.0000
2.8017 4.8528 0.0000
2.8017 1.6176 4.5752
Dy Ac In Tl
1 1 1 1
Direct
0.2500 0.2500 0.2500 Dy
0.7500 0.7500 0.7500 Ac
0.5000 0.5000 0.5000 In
0.0000 0.0000 0.0000 Tl

TbPr7Sc4, relaxed, DFT PBE; ΔE_f = 0.045 eV/atom; symmetry = P-1 (2)
1.0
6.8710 1.8355 0.8356
5.1289 7.6033 2.3819
-0.9626 -0.4181 8.7300
Pr Sc Tb
7 4 1
Direct
0.9649 0.2905 0.6586 Pr
0.2251 0.7764 0.6645 Pr
0.0351 0.7095 0.3414 Pr
0.2433 0.4984 0.9879 Pr
0.7749 0.2236 0.3355 Pr
0.5000 0.0000 0.0000 Pr
0.7567 0.5016 0.0121 Pr
0.7098 0.7890 0.6577 Sc
0.2902 0.2110 0.3423 Sc
0.4704 0.2691 0.6635 Sc
0.5296 0.7309 0.3365 Sc
0.0000 0.0000 0.0000 Tb

TbEr2Ag3Te6, relaxed, DFT PBE; symmetry = C2/m (12); E_form (uncorrected) = -824.8 meV per atom
1.0
-7.0059 1.4921 -2.5619
5.2905 -2.7082 -4.7485
-1.3892 -6.1424 3.9865
Er Tb Ag Te
2 1 3 6
Direct
0.6668 0.3332 0.0000 Er
0.3332 0.6668 0.0000 Er
0.0000 0.0000 0.0000 Tb
0.1655 0.8345 0.5000 Ag
0.5000 0.5000 0.5000 Ag
0.8345 0.1655 0.5000 Ag
0.0842 0.4207 0.2525 Te
0.5793 0.9158 0.7475 Te
0.4207 0.0842 0.2525 Te
0.2521 0.2521 0.7468 Te
0.9158 0.5793 0.7475 Te
0.7479 0.7479 0.2532 Te

LiCdH2Pd2, relaxed, DFT PBE; symmetry = P-3m1 (164); E = -3.647 eV per atom
1.0
-2.6757 0.0205 -1.3559
0.2651 -1.0995 2.7783
-1.6565 8.1724 3.3921
Cd H Li Pd
1 2 1 2
Direct
0.0000 0.0000 0.0000 Cd
0.6667 0.3333 0.6607 H
0.3333 0.6667 0.3393 H
0.0000 0.0000 0.5000 Li
0.3333 0.6667 0.7371 Pd
0.6667 0.3333 0.2629 Pd

Pu12HRh6, relaxed, DFT PBE; symmetry = R-3m (166); E = -11.609 eV per atom
1.0
-0.4055 6.8994 -3.7636
-5.8864 -4.7264 -2.2231
-0.0970 1.0785 7.7947
Pu H Rh
12 1 6
Direct
0.2499 0.5080 0.2500 Pu
0.5080 0.2500 0.2499 Pu
0.2281 0.8677 0.8677 Pu
0.7501 0.4920 0.7500 Pu
0.1323 0.1323 0.7719 Pu
0.8677 0.2281 0.8677 Pu
0.2500 0.2499 0.5080 Pu
0.4920 0.7500 0.7501 Pu
0.7500 0.7501 0.4920 Pu
0.1323 0.7719 0.1323 Pu
0.7719 0.1323 0.1323 Pu
0.8677 0.8677 0.2281 Pu
0.0000 0.0000 0.0000 H
0.0000 0.3907 0.6092 Rh
0.3907 0.6092 0.0000 Rh
0.3908 0.0000 0.6093 Rh
0.6092 0.0000 0.3907 Rh
0.6093 0.3908 0.0000 Rh
0.0000 0.6093 0.3908 Rh

BaInFe, relaxed, DFT PBE; ΔE_f = 0.259 eV/atom; symmetry = P-6m2 (187)
1.0
4.6778 0.0000 0.0000
-2.3389 4.0511 0.0000
0.0000 0.0000 4.9780
Fe In Ba
1 1 1
Direct
0.6667 0.3333 0.5001 Fe
0.3333 0.6667 0.5000 In
0.0000 0.0000 0.9999 Ba

ReSb2As, relaxed, DFT PBE; symmetry = I-42d (122); E_form (uncorrected) = 696.0 meV per atom
1.0
-5.8590 -1.8638 -0.9823
1.0604 -5.1173 3.3845
-4.1628 -0.5673 6.1737
As Sb Re
2 4 2
Direct
0.5000 0.5000 0.0000 As
0.2500 0.7500 0.5000 As
0.0979 0.6250 0.2500 Sb
0.6521 0.1250 0.2500 Sb
0.3750 0.3479 0.7500 Sb
0.8750 0.9021 0.7500 Sb
0.0000 0.0000 0.0000 Re
0.7500 0.2500 0.5000 Re

Ag3BAs, relaxed, DFT PBE; ΔE_f = 0.638 eV/atom; symmetry = Pm-3m (221); energy above the most stable polymorph in this dataset = 0 meV/atom
1.0
4.4241 0.0000 0.0000
0.0000 4.4241 0.0000
0.0000 0.0000 4.4241
B Ag As
1 3 1
Direct
0.0000 0.0000 0.0000 B
0.0000 0.5000 0.0000 Ag
0.0000 0.0000 0.5000 Ag
0.5000 0.0000 0.0000 Ag
0.5000 0.5000 0.5000 As

NbNiN2, relaxed, DFT PBE; symmetry = R-3m (166); E_form (uncorrected) = -271.0 meV per atom
1.0
1.8159 0.0000 5.8254
-0.9080 1.5726 5.8254
-0.9080 -1.5726 5.8254
Nb N Ni
1 2 1
Direct
0.5000 0.5000 0.5000 Nb
0.8961 0.8961 0.8961 N
0.1039 0.1039 0.1039 N
0.0000 0.0000 0.0000 Ni

Er2NpH, relaxed, DFT PBE; symmetry = R-3m (166); E = -6.094 eV per atom
1.0
-0.5809 2.9157 1.4561
0.0109 0.2323 3.3022
8.8805 2.9377 1.4234
Er Np H
2 1 1
Direct
0.1178 0.1178 0.6467 Er
0.8822 0.8822 0.3533 Er
0.0000 0.0000 0.0000 Np
0.5000 0.5000 0.5000 H

Nd11Ho4Er9, relaxed, DFT PBE; ΔE_f = 0.055 eV/atom; symmetry = Cmmm (65)
1.0
3.6535 0.0000 0.0000
0.0000 14.1340 -6.0459
0.0000 -0.0051 15.3728
Nd Er Ho
11 9 4
Direct
0.0000 0.2925 0.2925 Nd
0.0000 0.0429 0.4052 Nd
0.0000 0.6316 0.3684 Nd
0.0000 0.9571 0.5948 Nd
0.0000 0.5948 0.9571 Nd
0.0000 0.4052 0.0429 Nd
0.0000 0.7075 0.7075 Nd
0.0000 0.8397 0.1603 Nd
0.0000 0.0000 0.0000 Nd
0.0000 0.3684 0.6316 Nd
0.0000 0.1603 0.8397 Nd
0.5000 0.6306 0.1658 Er
0.5000 0.7864 0.9315 Er
0.5000 0.0685 0.2136 Er
0.5000 0.8342 0.3694 Er
0.5000 0.1658 0.6306 Er
0.5000 0.2136 0.0685 Er
0.5000 0.5000 0.5000 Er
0.5000 0.3694 0.8342 Er
0.5000 0.9315 0.7864 Er
0.5000 0.7589 0.5553 Ho
0.5000 0.4447 0.2411 Ho
0.5000 0.5553 0.7589 Ho
0.5000 0.2411 0.4447 Ho

TlZnIn2, relaxed, DFT PBE; ΔE_f = 0.119 eV/atom; symmetry = I4/mmm (139)
1.0
-4.2494 1.0498 -3.4804
-1.2037 -4.9102 -2.3903
0.5230 1.2592 5.4234
Tl In Zn
1 2 1
Direct
0.2500 0.7500 0.5000 Tl
0.5000 0.5000 0.0000 In
0.0000 0.0000 0.0000 In
0.7500 0.2500 0.5000 Zn

K12InAu6, relaxed, DFT PBE; ΔE_f = -0.204 eV/atom; symmetry = Im-3 (204)
1.0
9.5320 0.0000 -3.3701
-4.7660 8.2550 -3.3701
0.0000 0.0000 10.1103
K Au In
12 6 1
Direct
0.1769 0.6980 0.8749 K
0.1769 0.3020 0.4789 K
0.6980 0.5211 0.8231 K
0.8231 0.3020 0.1251 K
0.8231 0.6980 0.5211 K
0.3020 0.1251 0.8231 K
0.5211 0.8231 0.6980 K
0.4789 0.1769 0.3020 K
0.1251 0.8231 0.3020 K
0.8749 0.1769 0.6980 K
0.6980 0.8749 0.1769 K
0.3020 0.4789 0.1769 K
0.6227 0.5000 0.1227 Au
0.5000 0.1227 0.6227 Au
0.8773 0.3773 0.5000 Au
0.3773 0.5000 0.8773 Au
0.5000 0.8773 0.3773 Au
0.1227 0.6227 0.5000 Au
0.0000 0.0000 0.0000 In

Cr2RuW, relaxed, DFT PBE; ΔE_f = 0.314 eV/atom; symmetry = R3m (160); energy above the most stable polymorph in this dataset = 227 meV/atom
1.0
8.4570 0.0174 0.0102
8.0000 2.7423 0.0102
8.0000 1.3416 2.3918
Ru Cr W
1 2 1
Direct
0.5052 0.5052 0.5052 Ru
0.2563 0.2563 0.2563 Cr
0.9904 0.9904 0.9904 Cr
0.7481 0.7481 0.7481 W